[1]
TmZn11Si | PBE-GGA | optimized geometry Values from VASP.

```
&SYSTEM
  ibrav = 0, nat = 13, ntyp = 3
/
ATOMIC_SPECIES
Tm 168.93 Tm.upf
Zn 65.41 Zn.upf
Si 28.09 Si.upf
CELL_PARAMETERS angstrom
2.604 -6.310 0.000
2.604 6.310 0.000
-2.555 0.000 6.223
ATOMIC_POSITIONS crystal
Tm 0.000 0.000 0.000
Zn 0.000 0.355 0.354
Zn 0.000 0.500 0.000
Zn 0.000 0.645 0.646
Zn 0.291 0.505 0.787
Zn 0.355 0.000 0.354
Zn 0.495 0.709 0.213
Zn 0.500 0.000 0.000
Zn 0.500 0.500 0.500
Zn 0.505 0.291 0.787
Zn 0.645 0.000 0.646
Zn 0.709 0.495 0.213
Si 0.000 0.000 0.500
```

Values from the calculation:
space group	C2/m
uncorrected formation energy	-0.092	eV per atom

[2]
Tm3Zn4Si2 | PBE-GGA | optimized geometry Values from VASP.

```
&SYSTEM
  ibrav = 0, nat = 9, ntyp = 3
/
ATOMIC_SPECIES
Tm 168.93 Tm.upf
Zn 65.41 Zn.upf
Si 28.09 Si.upf
CELL_PARAMETERS angstrom
5.229 -2.099 0.000
5.229 2.099 0.000
-2.748 0.000 7.804
ATOMIC_POSITIONS crystal
Tm 0.000 0.000 0.000
Tm 0.323 0.323 0.349
Tm 0.677 0.677 0.651
Zn 0.022 0.022 0.360
Zn 0.257 0.257 0.923
Zn 0.743 0.743 0.077
Zn 0.978 0.978 0.640
Si 0.392 0.392 0.726
Si 0.608 0.608 0.274
```

Values from the calculation:
space group	C2/m
uncorrected formation energy	-0.527	eV per atom

[3]
Tm3ZnSi3 | PBE-GGA | optimized geometry Values from VASP.

```
&SYSTEM
  ibrav = 0, nat = 14, ntyp = 3
/
ATOMIC_SPECIES
Tm 168.93 Tm.upf
Zn 65.41 Zn.upf
Si 28.09 Si.upf
CELL_PARAMETERS angstrom
5.240 -2.082 0.000
5.240 2.082 0.000
-4.466 0.000 12.677
ATOMIC_POSITIONS crystal
Tm 0.021 0.021 0.375
Tm 0.107 0.107 0.922
Tm 0.241 0.241 0.224
Tm 0.759 0.759 0.776
Tm 0.893 0.893 0.078
Tm 0.979 0.979 0.625
Zn 0.265 0.265 0.608
Zn 0.735 0.735 0.392
Si 0.373 0.373 0.455
Si 0.391 0.391 0.925
Si 0.476 0.476 0.776
Si 0.524 0.524 0.224
Si 0.609 0.609 0.075
Si 0.627 0.627 0.545
```

Values from the calculation:
space group	C2/m
uncorrected formation energy	-0.691	eV per atom

[4]
Tm2Zn3Si | PBE-GGA | optimized geometry Values from VASP.

```
&SYSTEM
  ibrav = 0, nat = 12, ntyp = 3
/
ATOMIC_SPECIES
Tm 168.93 Tm.upf
Zn 65.41 Zn.upf
Si 28.09 Si.upf
CELL_PARAMETERS angstrom
0.000 4.318 7.488
3.524 0.000 7.488
3.524 4.318 0.000
ATOMIC_POSITIONS crystal
Tm 0.247 0.753 0.753
Tm 0.250 0.250 0.250
Tm 0.750 0.750 0.750
Tm 0.753 0.247 0.247
Zn 0.167 0.167 0.833
Zn 0.169 0.664 0.336
Zn 0.336 0.831 0.169
Zn 0.664 0.169 0.831
Zn 0.831 0.336 0.664
Zn 0.833 0.833 0.167
Si 0.334 0.334 0.666
Si 0.666 0.666 0.334
```

Values from the calculation:
space group	Fmmm
uncorrected formation energy	-0.491	eV per atom

[5]
Tm6ZnSi2 | PBE-GGA | optimized geometry Values from VASP.

```
&SYSTEM
  ibrav = 0, nat = 18, ntyp = 3
/
ATOMIC_SPECIES
Tm 168.93 Tm.upf
Zn 65.41 Zn.upf
Si 28.09 Si.upf
CELL_PARAMETERS angstrom
-4.666 4.717 4.983
4.666 -4.717 4.983
4.666 4.717 -4.983
ATOMIC_POSITIONS crystal
Tm 0.030 0.825 0.205
Tm 0.250 0.555 0.305
Tm 0.250 0.945 0.695
Tm 0.266 0.323 0.589
Tm 0.266 0.677 0.944
Tm 0.381 0.175 0.205
Tm 0.619 0.825 0.795
Tm 0.734 0.323 0.056
Tm 0.734 0.677 0.411
Tm 0.750 0.055 0.305
Tm 0.750 0.445 0.695
Tm 0.970 0.175 0.795
Zn 0.000 0.500 0.500
Zn 0.500 0.000 0.500
Si 0.000 0.145 0.145
Si 0.000 0.855 0.855
Si 0.381 0.381 0.000
Si 0.619 0.619 0.000
```

Values from the calculation:
space group	Immm
uncorrected formation energy	-0.485	eV per atom

[6]
Tm2ZnSi | PBE-GGA | optimized geometry Values from VASP.

```
&SYSTEM
  ibrav = 0, nat = 4, ntyp = 3
/
ATOMIC_SPECIES
Tm 168.93 Tm.upf
Zn 65.41 Zn.upf
Si 28.09 Si.upf
CELL_PARAMETERS angstrom
1.769 1.021 9.863
-1.769 1.021 9.863
0.000 -2.043 9.863
ATOMIC_POSITIONS crystal
Tm 0.102 0.102 0.102
Tm 0.898 0.898 0.898
Zn 0.000 0.000 0.000
Si 0.500 0.500 0.500
```

Values from the calculation:
space group	R-3m
uncorrected formation energy	0.087	eV per atom

[7]
Tm2Zn5Si | PBE-GGA | optimized geometry Values from VASP.

```
&SYSTEM
  ibrav = 0, nat = 16, ntyp = 3
/
ATOMIC_SPECIES
Tm 168.93 Tm.upf
Zn 65.41 Zn.upf
Si 28.09 Si.upf
CELL_PARAMETERS angstrom
2.107 -7.802 0.000
2.107 7.802 0.000
0.000 0.000 8.751
ATOMIC_POSITIONS crystal
Tm 0.000 0.000 0.000
Tm 0.000 0.000 0.500
Tm 0.196 0.804 0.750
Tm 0.804 0.196 0.250
Zn 0.189 0.811 0.106
Zn 0.189 0.811 0.394
Zn 0.353 0.647 0.027
Zn 0.353 0.647 0.473
Zn 0.398 0.602 0.750
Zn 0.602 0.398 0.250
Zn 0.647 0.353 0.527
Zn 0.647 0.353 0.973
Zn 0.811 0.189 0.606
Zn 0.811 0.189 0.894
Si 0.448 0.552 0.250
Si 0.552 0.448 0.750
```

Values from the calculation:
space group	Cmcm
uncorrected formation energy	-0.412	eV per atom

[8]
Tm2Zn3Si | PBE-GGA | optimized geometry Values from VASP.

```
&SYSTEM
  ibrav = 0, nat = 6, ntyp = 3
/
ATOMIC_SPECIES
Tm 168.93 Tm.upf
Zn 65.41 Zn.upf
Si 28.09 Si.upf
CELL_PARAMETERS angstrom
3.569 0.000 0.000
0.000 4.314 0.000
0.000 0.000 7.453
ATOMIC_POSITIONS crystal
Tm 0.000 0.000 0.000
Tm 0.000 0.500 0.483
Zn 0.500 0.000 0.660
Zn 0.500 0.500 0.155
Zn 0.500 0.500 0.821
Si 0.500 0.000 0.328
```

Values from the calculation:
space group	Pmm2
uncorrected formation energy	-0.469	eV per atom

[9]
Tm2Zn2Si3 | PBE-GGA | optimized geometry Values from VASP.

```
&SYSTEM
  ibrav = 0, nat = 14, ntyp = 3
/
ATOMIC_SPECIES
Tm 168.93 Tm.upf
Zn 65.41 Zn.upf
Si 28.09 Si.upf
CELL_PARAMETERS angstrom
2.029 -9.149 0.000
2.029 9.149 0.000
0.000 0.000 6.757
ATOMIC_POSITIONS crystal
Tm 0.049 0.951 0.750
Tm 0.154 0.846 0.250
Tm 0.846 0.154 0.750
Tm 0.951 0.049 0.250
Zn 0.320 0.680 0.061
Zn 0.320 0.680 0.439
Zn 0.680 0.320 0.561
Zn 0.680 0.320 0.939
Si 0.220 0.780 0.750
Si 0.442 0.558 0.576
Si 0.442 0.558 0.924
Si 0.558 0.442 0.076
Si 0.558 0.442 0.424
Si 0.780 0.220 0.250
```

Values from the calculation:
space group	Cmcm
uncorrected formation energy	-0.448	eV per atom

[10]
Tm2ZnSi | PBE-GGA | optimized geometry Values from VASP.

```
&SYSTEM
  ibrav = 0, nat = 8, ntyp = 3
/
ATOMIC_SPECIES
Tm 168.93 Tm.upf
Zn 65.41 Zn.upf
Si 28.09 Si.upf
CELL_PARAMETERS angstrom
5.681 0.000 0.000
0.000 3.996 0.000
-2.614 0.000 7.734
ATOMIC_POSITIONS crystal
Tm 0.208 0.250 0.427
Tm 0.284 0.750 0.069
Tm 0.716 0.250 0.931
Tm 0.792 0.750 0.573
Zn 0.361 0.750 0.713
Zn 0.639 0.250 0.287
Si 0.140 0.250 0.788
Si 0.860 0.750 0.212
```

Values from the calculation:
space group	P2_1/m
uncorrected formation energy	-0.560	eV per atom

[11]
Tm2ZnSi | PBE-GGA | optimized geometry Values from VASP.

```
&SYSTEM
  ibrav = 0, nat = 4, ntyp = 3
/
ATOMIC_SPECIES
Tm 168.93 Tm.upf
Zn 65.41 Zn.upf
Si 28.09 Si.upf
CELL_PARAMETERS angstrom
4.822 0.000 0.000
0.000 4.822 0.000
0.000 0.000 3.609
ATOMIC_POSITIONS crystal
Tm 0.000 0.500 0.000
Tm 0.500 0.000 0.000
Zn 0.000 0.000 0.500
Si 0.500 0.500 0.500
```

Values from the calculation:
space group	P4/mmm
uncorrected formation energy	-0.460	eV per atom

[12]
Tm3ZnSi2 | PBE-GGA | optimized geometry Values from VASP.

```
&SYSTEM
  ibrav = 0, nat = 24, ntyp = 3
/
ATOMIC_SPECIES
Tm 168.93 Tm.upf
Zn 65.41 Zn.upf
Si 28.09 Si.upf
CELL_PARAMETERS angstrom
11.192 0.000 0.000
0.000 4.130 0.000
0.000 0.000 11.263
ATOMIC_POSITIONS crystal
Tm 0.055 0.250 0.122
Tm 0.129 0.750 0.566
Tm 0.204 0.250 0.803
Tm 0.296 0.750 0.303
Tm 0.371 0.250 0.066
Tm 0.445 0.750 0.622
Tm 0.555 0.250 0.378
Tm 0.629 0.750 0.934
Tm 0.704 0.250 0.697
Tm 0.796 0.750 0.197
Tm 0.871 0.250 0.434
Tm 0.945 0.750 0.878
Zn 0.135 0.250 0.366
Zn 0.365 0.750 0.866
Zn 0.635 0.250 0.134
Zn 0.865 0.750 0.634
Si 0.020 0.750 0.319
Si 0.186 0.750 0.000
Si 0.314 0.250 0.500
Si 0.480 0.250 0.819
Si 0.520 0.750 0.181
Si 0.686 0.750 0.500
Si 0.814 0.250 0.000
Si 0.980 0.250 0.681
```

Values from the calculation:
space group	Pnma
uncorrected formation energy	-0.628	eV per atom

[13]
TmZrSi2 | PBE-GGA | optimized geometry Values from VASP.

```
&SYSTEM
  ibrav = 0, nat = 8, ntyp = 3
/
ATOMIC_SPECIES
Tm 168.93 Tm.upf
Zr 91.22 Zr.upf
Si 28.09 Si.upf
CELL_PARAMETERS angstrom
3.765 0.000 0.000
0.000 5.477 0.000
0.000 0.000 7.413
ATOMIC_POSITIONS crystal
Tm 0.000 0.129 0.000
Tm 0.000 0.871 0.500
Zr 0.500 0.372 0.358
Zr 0.500 0.628 0.858
Si 0.000 0.389 0.637
Si 0.000 0.611 0.137
Si 0.500 0.122 0.716
Si 0.500 0.878 0.216
```

Values from the calculation:
space group	Pmc2_1
uncorrected formation energy	-0.843	eV per atom
energy relative to the lowest polymorph listed for this composition	0.0000	eV per atom

[14]
TmZrSi2 | PBE-GGA | optimized geometry Values from VASP.

```
&SYSTEM
  ibrav = 0, nat = 4, ntyp = 3
/
ATOMIC_SPECIES
Tm 168.93 Tm.upf
Zr 91.22 Zr.upf
Si 28.09 Si.upf
CELL_PARAMETERS angstrom
3.787 0.000 0.000
0.000 1.986 5.083
0.000 -1.986 5.083
ATOMIC_POSITIONS crystal
Tm 0.000 0.000 0.000
Zr 0.500 0.717 0.717
Si 0.000 0.276 0.276
Si 0.500 0.434 0.434
```

Values from the calculation:
space group	Amm2
uncorrected formation energy	-0.842	eV per atom
energy relative to the lowest polymorph listed for this composition	0.0013	eV per atom

[15]
TmZrSi | PBE-GGA | optimized geometry Values from VASP.

```
&SYSTEM
  ibrav = 0, nat = 6, ntyp = 3
/
ATOMIC_SPECIES
Tm 168.93 Tm.upf
Zr 91.22 Zr.upf
Si 28.09 Si.upf
CELL_PARAMETERS angstrom
5.155 -1.565 0.000
5.155 1.565 0.000
-3.106 0.000 8.404
ATOMIC_POSITIONS crystal
Tm 0.101 0.101 0.397
Tm 0.899 0.899 0.603
Zr 0.242 0.242 0.825
Zr 0.758 0.758 0.175
Si 0.463 0.463 0.114
Si 0.537 0.537 0.886
```

Values from the calculation:
space group	C2/m
uncorrected formation energy	-0.213	eV per atom

[16]
TmZrSi2 | PBE-GGA | optimized geometry Values from VASP.

```
&SYSTEM
  ibrav = 0, nat = 4, ntyp = 3
/
ATOMIC_SPECIES
Tm 168.93 Tm.upf
Zr 91.22 Zr.upf
Si 28.09 Si.upf
CELL_PARAMETERS angstrom
1.913 1.104 6.738
-1.913 1.104 6.738
0.000 -2.209 6.738
ATOMIC_POSITIONS crystal
Tm 0.000 0.000 0.000
Zr 0.500 0.500 0.500
Si 0.245 0.245 0.245
Si 0.755 0.755 0.755
```

Values from the calculation:
space group	R-3m
uncorrected formation energy	-0.586	eV per atom
energy relative to the lowest polymorph listed for this composition	0.2564	eV per atom

[17]
U3Si2 | PBE-GGA | optimized geometry Values from VASP.

```
&SYSTEM
  ibrav = 0, nat = 10, ntyp = 2
/
ATOMIC_SPECIES
U 238.03 U.upf
Si 28.09 Si.upf
CELL_PARAMETERS angstrom
7.238 0.000 0.000
0.000 7.238 0.000
0.000 0.000 3.890
ATOMIC_POSITIONS crystal
U 0.000 0.000 0.000
U 0.184 0.316 0.500
U 0.316 0.816 0.500
U 0.500 0.500 0.000
U 0.684 0.184 0.500
U 0.816 0.684 0.500
Si 0.115 0.615 0.000
Si 0.385 0.115 0.000
Si 0.615 0.885 0.000
Si 0.885 0.385 0.000
```

Values from the calculation:
space group	P4/mbm
uncorrected formation energy	-0.154	eV per atom

[18]
U5Si3 | PBE-GGA | optimized geometry Values from VASP.

```
&SYSTEM
  ibrav = 0, nat = 16, ntyp = 2
/
ATOMIC_SPECIES
U 238.03 U.upf
Si 28.09 Si.upf
CELL_PARAMETERS angstrom
0.000 8.004 7.154
2.767 0.000 7.154
2.767 8.004 0.000
ATOMIC_POSITIONS crystal
U 0.000 0.000 0.000
U 0.043 0.724 0.780
U 0.250 0.250 0.250
U 0.365 0.528 0.264
U 0.408 0.986 0.722
U 0.470 0.798 0.207
U 0.528 0.365 0.842
U 0.724 0.043 0.452
U 0.798 0.470 0.526
U 0.986 0.408 0.885
Si 0.089 0.512 0.064
Si 0.186 0.915 0.161
Si 0.512 0.089 0.335
Si 0.540 0.540 0.460
Si 0.790 0.790 0.710
Si 0.915 0.186 0.738
```

Values from the calculation:
space group	Fdd2
uncorrected formation energy	-0.034	eV per atom

[19]
U6Si | PBE-GGA | optimized geometry Values from VASP.

```
&SYSTEM
  ibrav = 0, nat = 7, ntyp = 2
/
ATOMIC_SPECIES
U 238.03 U.upf
Si 28.09 Si.upf
CELL_PARAMETERS angstrom
-3.561 3.561 3.561
3.561 -3.561 3.561
3.561 3.561 -3.561
ATOMIC_POSITIONS crystal
U 0.250 0.500 0.750
U 0.250 0.750 0.500
U 0.500 0.250 0.750
U 0.500 0.750 0.250
U 0.750 0.250 0.500
U 0.750 0.500 0.250
Si 0.000 0.000 0.000
```

Values from the calculation:
space group	Im-3m
uncorrected formation energy	1.289	eV per atom

[20]
USi6 | PBE-GGA | optimized geometry Values from VASP.

```
&SYSTEM
  ibrav = 0, nat = 7, ntyp = 2
/
ATOMIC_SPECIES
U 238.03 U.upf
Si 28.09 Si.upf
CELL_PARAMETERS angstrom
-3.314 3.314 3.314
3.314 -3.314 3.314
3.314 3.314 -3.314
ATOMIC_POSITIONS crystal
U 0.000 0.000 0.000
Si 0.250 0.500 0.750
Si 0.250 0.750 0.500
Si 0.500 0.250 0.750
Si 0.500 0.750 0.250
Si 0.750 0.250 0.500
Si 0.750 0.500 0.250
```

Values from the calculation:
space group	Im-3m
uncorrected formation energy	0.438	eV per atom